[1]
# TaTi2Ru, relaxed, DFT PBE
data_TaTi2Ru
_cell_length_a 4.514
_cell_length_b 4.514
_cell_length_c 3.135
_cell_angle_alpha 90.00
_cell_angle_beta 90.00
_cell_angle_gamma 90.00
_symmetry_space_group_name_H-M 'P 4/m m m'
_symmetry_Int_Tables_number 123
_symmetry_space_group_name_Hall '-P 4 2'
loop_
_atom_site_label
_atom_site_fract_x
_atom_site_fract_y
_atom_site_fract_z
_atom_site_occupancy
Ta1 0.000 0.000 0.000 1
Ti1 0.000 0.500 0.500 1
Ru1 0.500 0.500 0.000 1
# energy above the most stable polymorph in this dataset: 97 meV per atom
# formation enthalpy at 0 K: -258 meV per atom
# magnetization: 0.00 Bohr magnetons per cell


[2]
# Pr3Dy12Sc, relaxed, DFT PBE
data_Pr3Dy12Sc
_cell_length_a 5.038
_cell_length_b 5.038
_cell_length_c 20.096
_cell_angle_alpha 90.00
_cell_angle_beta 90.00
_cell_angle_gamma 90.00
_symmetry_space_group_name_H-M 'P 4/m m m'
_symmetry_Int_Tables_number 123
_symmetry_space_group_name_Hall '-P 4 2'
loop_
_atom_site_label
_atom_site_fract_x
_atom_site_fract_y
_atom_site_fract_z
_atom_site_occupancy
Pr1 0.000 0.000 0.000 1
Pr2 0.000 0.000 0.253 1
Dy1 0.000 0.500 0.127 1
Dy2 0.000 0.500 0.381 1
Dy3 0.500 0.500 0.000 1
Dy4 0.500 0.500 0.254 1
Dy5 0.500 0.500 0.500 1
Sc1 0.000 0.000 0.500 1
# formation enthalpy at 0 K: 29 meV per atom
# magnetization: 0.00 Bohr magnetons per cell


[3]
# Nd5Dy3Er3, relaxed, DFT PBE
data_Nd5Dy3Er3
_cell_length_a 11.2072
_cell_length_b 11.2072
_cell_length_c 3.4755
_cell_angle_alpha 90.00
_cell_angle_beta 90.00
_cell_angle_gamma 120.00
_symmetry_space_group_name_H-M 'P -6 2 m'
_symmetry_Int_Tables_number 189
_symmetry_space_group_name_Hall 'P -6 -2'
loop_
_atom_site_label
_atom_site_fract_x
_atom_site_fract_y
_atom_site_fract_z
_atom_site_occupancy
Nd1 0.0000 0.1623 0.0000 1
Nd2 0.3333 0.6667 0.0000 1
Dy1 0.0000 0.4064 0.5000 1
Er1 0.0000 0.6576 0.0000 1
# energy above the most stable polymorph in this dataset: 27 meV per atom
# formation enthalpy at 0 K: 343 meV per atom
# magnetization: 0.07 Bohr magnetons per cell


[4]
# K3Sn8Pd3, relaxed, DFT PBE
data_K3Sn8Pd3
_cell_length_a 21.057
_cell_length_b 4.656
_cell_length_c 8.567
_cell_angle_alpha 90.00
_cell_angle_beta 113.69
_cell_angle_gamma 90.00
_symmetry_space_group_name_H-M 'C 1 2/m 1'
_symmetry_Int_Tables_number 12
_symmetry_space_group_name_Hall '-C 2y'
loop_
_atom_site_label
_atom_site_fract_x
_atom_site_fract_y
_atom_site_fract_z
_atom_site_occupancy
K1 0.000 0.000 0.000 1
K2 0.247 0.000 0.313 1
Sn1 0.030 0.500 0.704 1
Sn2 0.115 0.500 0.258 1
Sn3 0.121 0.000 0.480 1
Sn4 0.187 0.000 0.879 1
Pd1 0.000 0.000 0.500 1
Pd2 0.154 0.500 0.990 1
# energy above the most stable polymorph in this dataset: 0 meV per atom
# formation enthalpy at 0 K: -279 meV per atom
# magnetization: 0.00 Bohr magnetons per cell